1.
Material: LaCo2Ir
Method: DFT, PBE
State: optimized geometry

Summary:
Space-group type ... Cmmm
DFT formation energy ... 0.200 eV per atom
VASP energy ... -6.800 eV per atom
Magnetic moment ... 2.09 μB/f.u.

abc: 5.853 7.129 3.035
angles: 90.00 90.00 90.00
Element x y z (fractional)
La 0.000 0.000 0.000
La 0.500 0.500 0.000
Co 0.250 0.250 0.500
Co 0.250 0.750 0.500
Co 0.750 0.250 0.500
Co 0.750 0.750 0.500
Ir 0.000 0.500 0.000
Ir 0.500 0.000 0.000


2.
Material: LaCo2Ir
Method: DFT, PBE
State: optimized geometry

Summary:
Space-group type ... P2/m
DFT formation energy ... 0.197 eV per atom
VASP energy ... -6.803 eV per atom
Magnetic moment ... 3.08 μB/f.u.

abc: 3.027 4.359 5.546
angles: 90.00 103.48 90.00
Element x y z (fractional)
La 0.000 0.000 0.000
Co 0.299 0.500 0.667
Co 0.701 0.500 0.333
Ir 0.500 0.000 0.500


3.
Material: LaMgCoIr2
Method: DFT, PBE
State: optimized geometry

Summary:
Space-group type ... P4/mmm
DFT formation energy ... 0.076 eV per atom
VASP energy ... -6.194 eV per atom
Magnetic moment ... 1.97 μB/f.u.

abc: 4.710 4.710 4.463
angles: 90.00 90.00 90.00
Element x y z (fractional)
La 0.000 0.000 0.000
Mg 0.500 0.500 0.000
Co 0.500 0.500 0.500
Ir 0.000 0.500 0.500
Ir 0.500 0.000 0.500


4.
Material: LaCoMoIr2
Method: DFT, PBE
State: optimized geometry

Summary:
Space-group type ... P4/mmm
DFT formation energy ... 2.575 eV per atom
VASP energy ... -5.542 eV per atom
Magnetic moment ... 2.62 μB/f.u.

abc: 4.872 4.872 4.908
angles: 90.00 90.00 90.00
Element x y z (fractional)
La 0.000 0.000 0.000
Co 0.500 0.500 0.500
Mo 0.000 0.000 0.500
Ir 0.000 0.500 0.000
Ir 0.500 0.000 0.000


5.
Material: La2CoIrN
Method: DFT, PBE
State: optimized geometry

Summary:
Raw formation energy ... -0.72 eV/atom
Space-group type ... P4/mmm
VASP energy ... -7.554 eV per atom
Magnetic moment ... 0.00 μB/f.u.

abc: 5.223 5.223 3.547
angles: 90.00 90.00 90.00
Element x y z (fractional)
La 0.000 0.500 0.000
La 0.500 0.000 0.000
Co 0.000 0.000 0.500
Ir 0.500 0.500 0.500
N 0.000 0.000 0.000


6.
Material: LaNdCoIr
Method: DFT, PBE
State: optimized geometry

Summary:
Space-group type ... F-43m
DFT formation energy ... -0.280 eV per atom
VASP energy ... -6.695 eV per atom
Magnetic moment ... 0.62 μB/f.u.

abc: 7.087 7.087 7.087
angles: 90.00 90.00 90.00
Element x y z (fractional)
La 0.000 0.000 0.000
La 0.000 0.500 0.500
La 0.500 0.000 0.500
La 0.500 0.500 0.000
Nd 0.000 0.000 0.500
Nd 0.000 0.500 0.000
Nd 0.500 0.000 0.000
Nd 0.500 0.500 0.500
Co 0.250 0.250 0.250
Co 0.250 0.750 0.750
Co 0.750 0.250 0.750
Co 0.750 0.750 0.250
Ir 0.250 0.250 0.750
Ir 0.250 0.750 0.250
Ir 0.750 0.250 0.250
Ir 0.750 0.750 0.750